! PBE TlCoNi2, relaxed; values from VASP
&SYSTEM
  ibrav = 0, nat = 4, ntyp = 3
/
ATOMIC_SPECIES
Ni 58.69 Ni.upf
Tl 204.38 Tl.upf
Co 58.93 Co.upf
ATOMIC_POSITIONS angstrom
Ni -1.8606 -1.0414 1.6842
Tl -2.0971 1.4412 0.7661
Ni 0.0000 0.0000 0.0000
Co 0.4510 -0.1197 2.6161
CELL_PARAMETERS angstrom
-4.4087 0.5195 -0.1658
0.6875 -2.6022 3.5342
0.2145 2.3629 1.6981
! SG   No. 65
! Formation energy   0.402 eV per atom
! Uncorrected energy   -19.43 eV per formula unit
! M_tot   2.15 μB per formula unit
! E above lowest polymorph   83.6 meV/atom